Density functional theory data (PBE-GGA) for a relaxed RuPtSe2 crystal. Values from VASP.

Geometry as Quantum ESPRESSO input:
```
&SYSTEM
  ibrav = 0, nat = 4, ntyp = 3
/
ATOMIC_SPECIES
Se 78.96 Se.upf
Ru 101.07 Ru.upf
Pt 195.08 Pt.upf
ATOMIC_POSITIONS angstrom
Se 1.640 2.761 0.002
Se 0.000 0.000 0.000
Ru 0.000 1.873 1.877
Pt 1.640 4.634 1.879
CELL_PARAMETERS angstrom
3.279 0.000 0.000
0.000 5.522 0.005
0.000 3.746 3.754
```

Formation energy from raw total energies (eV per atom): 0.222
Total DFT energy (no corrections) (eV per formula unit): -21.4
Relative energy among the computed polymorphs (eV per atom): 0.300